Density functional theory data (GGA-PBE) for an optimized crystal structure of RbUAs2O8.

Formation energy without anion corrections: -44.5 kcal/mol of atoms
Crystal system: trigonal

```
RbUAs2O8
1.0
5.734 0.000 0.000
-2.867 4.966 0.000
0.000 0.000 8.541
Rb U As O
1 1 2 8
direct
0.000 0.000 0.000 Rb
0.000 0.000 0.500 U
0.333 0.667 0.268 As
0.667 0.333 0.732 As
0.173 0.345 0.350 O
0.173 0.827 0.350 O
0.333 0.667 0.074 O
0.345 0.173 0.650 O
0.655 0.827 0.350 O
0.667 0.333 0.926 O
0.827 0.173 0.650 O
0.827 0.655 0.650 O
```